# 1
A relaxed structure of Mn2PtW. Source: the Alexandria database, functional GGA-PBE.

Summary:
Spin magnetization: 5.01 μB/cell
E above lowest polymorph: 0.18 eV/f.u.
DOS at the Fermi energy: 3.0 states/eV per cell
Calculated formation energy: -0.056 eV per atom

Lattice parameters (Å, degrees): 3.091 3.215 5.767 90.00 90.00 90.00
Sites, in units of the cell vectors:
1 Mn 0.000 0.000 0.242
2 Mn 0.000 0.000 0.758
3 Pt 0.500 0.500 0.500
4 W 0.500 0.500 0.000


# 2
A relaxed structure of MnPt4W. Source: the Alexandria database, functional GGA-PBE.

Summary:
Spin magnetization: 2.58 μB/cell
E above lowest polymorph: 2.94 eV/f.u.
DOS at the Fermi energy: 7.1 states/eV per cell
Calculated formation energy: 0.187 eV per atom

Lattice parameters (Å, degrees): 5.195 5.195 5.195 60.00 60.00 60.00
Sites, in units of the cell vectors:
1 Mn 0.000 0.000 0.000
2 Pt 0.125 0.625 0.625
3 Pt 0.625 0.125 0.625
4 Pt 0.625 0.625 0.125
5 Pt 0.625 0.625 0.625
6 W 0.250 0.250 0.250


- Look up the calculated formation energy of the first one.
  -0.056 eV per atom